Here is a relaxed structure of Ca2In4Au3 from the Alexandria database. Energies are from GGA-PBE.

abc: 15.061 4.485 12.838
angles: 90.00 90.00 90.00
Space group Pnma (No. 62)
One atom of each set of equivalent atoms:
Ca 0.019 0.250 0.215 [4 per cell]
Ca 0.210 0.750 0.583 [4 per cell]
In 0.003 0.250 0.586 [4 per cell]
In 0.070 0.250 0.960 [4 per cell]
In 0.182 0.750 0.284 [4 per cell]
In 0.196 0.750 0.868 [4 per cell]
Au 0.124 0.250 0.419 [4 per cell]
Au 0.125 0.750 0.080 [4 per cell]
Au 0.128 0.250 0.745 [4 per cell]

ΔE_f: -530 meV/atom
energy: -3.284 eV/atom



Here is a relaxed structure of CaIn4Au2 from the Alexandria database. Energies are from GGA-PBE.

abc: 18.716 4.613 7.735
angles: 90.00 90.00 90.00
Space group Pnma (No. 62)
One atom of each set of equivalent atoms:
Ca 0.145 0.250 0.054 [4 per cell]
In 0.034 0.750 0.867 [4 per cell]
In 0.066 0.250 0.491 [4 per cell]
In 0.187 0.750 0.754 [4 per cell]
In 0.188 0.750 0.349 [4 per cell]
Au 0.043 0.750 0.246 [4 per cell]
Au 0.221 0.250 0.552 [4 per cell]

ΔE_f: -393 meV/atom
energy: -3.180 eV/atom
excess energy over the best structure of this formula in the dataset: 0.0000 eV per atom